Entry 1:
Entry from the Alexandria database: a relaxed Zn2Mo3O8 crystal (PBE+U).

Summary:
Total energy ... -6.440 eV per atom
SG ... C2/m (12)
M_tot ... 6.000 Bohr magnetons per cell

Structure (POSCAR):
```
Zn2Mo3O8
1.0
5.1779 -3.1505 0.0000
5.1779 3.1505 0.0000
-1.9795 0.0000 5.0787
Zn Mo O
2 3 8
Direct
0.1757 0.1757 0.1276 Zn
0.8243 0.8243 0.8724 Zn
0.2401 0.7599 0.5000 Mo
0.5000 0.5000 0.0000 Mo
0.7599 0.2401 0.5000 Mo
0.1136 0.1136 0.7335 O
0.1557 0.6336 0.7512 O
0.3664 0.8443 0.2488 O
0.3845 0.3845 0.2582 O
0.6155 0.6155 0.7418 O
0.6336 0.1557 0.7512 O
0.8443 0.3664 0.2488 O
0.8864 0.8864 0.2665 O
```

***

Entry 2:
Entry from the Alexandria database: a relaxed ZnMo3O14 crystal (PBE+U).

Summary:
Total energy ... -5.943 eV per atom
SG ... Imm2 (44)
M_tot ... 5.785 Bohr magnetons per cell

Structure (POSCAR):
```
ZnMo3O14
1.0
-1.8715 4.5866 9.1514
1.8715 -4.5866 9.1514
1.8715 4.5866 -9.1514
Zn Mo O
1 3 14
Direct
0.0000 0.0000 0.0000 Zn
0.1673 0.8648 0.3026 Mo
0.5032 0.5032 0.0000 Mo
0.5622 0.8648 0.6974 Mo
0.0394 0.5394 0.5000 O
0.1123 0.9395 0.1728 O
0.1170 0.1835 0.9335 O
0.2362 0.3877 0.8485 O
0.2501 0.1835 0.0665 O
0.3209 0.8209 0.5000 O
0.4120 0.5603 0.8517 O
0.4669 0.9669 0.5000 O
0.5392 0.3877 0.1515 O
0.5905 0.7873 0.8032 O
0.7085 0.5603 0.1483 O
0.7667 0.9395 0.8272 O
0.7725 0.2725 0.5000 O
0.9840 0.7873 0.1968 O
```

***

Entry 3:
Entry from the Alexandria database: a relaxed Zn3Mo2O7 crystal (PBE+U).

Summary:
Total energy ... -5.907 eV per atom
SG ... Cmc2_1 (36)
M_tot ... 8.000 Bohr magnetons per cell

Structure (POSCAR):
```
Zn3Mo2O7
1.0
9.6407 -2.6730 0.0000
9.6407 2.6730 0.0000
0.0000 0.0000 5.3177
Zn Mo O
6 4 14
Direct
0.0782 0.5114 0.4599 Zn
0.2324 0.7676 0.5000 Zn
0.4886 0.9218 0.4599 Zn
0.5114 0.0782 0.9599 Zn
0.7676 0.2324 0.0000 Zn
0.9218 0.4886 0.9599 Zn
0.1451 0.6482 0.9820 Mo
0.3518 0.8549 0.9820 Mo
0.6482 0.1451 0.4820 Mo
0.8549 0.3518 0.4820 Mo
0.0460 0.2220 0.1578 O
0.1318 0.8682 0.8783 O
0.1542 0.4358 0.0838 O
0.2220 0.0460 0.6578 O
0.3395 0.5108 0.3066 O
0.4358 0.1542 0.5838 O
0.4892 0.6605 0.3066 O
0.5108 0.3395 0.8066 O
0.5642 0.8458 0.0838 O
0.6605 0.4892 0.8066 O
0.7780 0.9540 0.1578 O
0.8458 0.5642 0.5838 O
0.8682 0.1318 0.3783 O
0.9540 0.7780 0.6578 O
```

***

Entry 4:
Entry from the Alexandria database: a relaxed Zn5Mo3O12 crystal (PBE+U).

Summary:
Total energy ... -5.625 eV per atom
SG ... Ia-3d (230)
M_tot ... 17.371 Bohr magnetons per cell

Structure (POSCAR):
```
Zn5Mo3O12
1.0
-6.0409 6.0409 6.0409
6.0409 -6.0409 6.0409
6.0409 6.0409 -6.0409
Zn Mo O
20 12 48
Direct
0.0000 0.0000 0.0000 Zn
0.0000 0.0000 0.5000 Zn
0.0000 0.5000 0.0000 Zn
0.0000 0.5000 0.5000 Zn
0.1250 0.7500 0.8750 Zn
0.1250 0.8750 0.2500 Zn
0.2500 0.1250 0.8750 Zn
0.2500 0.6250 0.3750 Zn
0.3750 0.2500 0.6250 Zn
0.3750 0.6250 0.7500 Zn
0.5000 0.0000 0.0000 Zn
0.5000 0.0000 0.5000 Zn
0.5000 0.5000 0.0000 Zn
0.5000 0.5000 0.5000 Zn
0.6250 0.3750 0.2500 Zn
0.6250 0.7500 0.3750 Zn
0.7500 0.3750 0.6250 Zn
0.7500 0.8750 0.1250 Zn
0.8750 0.1250 0.7500 Zn
0.8750 0.2500 0.1250 Zn
0.1250 0.2500 0.3750 Mo
0.1250 0.3750 0.7500 Mo
0.2500 0.3750 0.1250 Mo
0.2500 0.8750 0.6250 Mo
0.3750 0.1250 0.2500 Mo
0.3750 0.7500 0.1250 Mo
0.6250 0.2500 0.8750 Mo
0.6250 0.8750 0.7500 Mo
0.7500 0.1250 0.3750 Mo
0.7500 0.6250 0.8750 Mo
0.8750 0.6250 0.2500 Mo
0.8750 0.7500 0.6250 Mo
0.0510 0.2246 0.1350 O
0.0510 0.3264 0.9160 O
0.0840 0.6350 0.4104 O
0.0840 0.9490 0.6736 O
0.0896 0.7246 0.6736 O
0.0896 0.8650 0.4160 O
0.1350 0.0510 0.2246 O
0.1350 0.5840 0.9104 O
0.1736 0.2246 0.5896 O
0.1736 0.4490 0.5840 O
0.2246 0.1350 0.0510 O
0.2246 0.5896 0.1736 O
0.2754 0.3264 0.9104 O
0.2754 0.4490 0.3650 O
0.3264 0.9104 0.2754 O
0.3264 0.9160 0.0510 O
0.3650 0.2754 0.4490 O
0.3650 0.5896 0.9160 O
0.4104 0.0840 0.6350 O
0.4104 0.8264 0.7754 O
0.4160 0.0896 0.8650 O
0.4160 0.8264 0.5510 O
0.4490 0.3650 0.2754 O
0.4490 0.5840 0.1736 O
0.5510 0.4160 0.8264 O
0.5510 0.6350 0.7246 O
0.5840 0.1736 0.4490 O
0.5840 0.9104 0.1350 O
0.5896 0.1736 0.2246 O
0.5896 0.9160 0.3650 O
0.6350 0.4104 0.0840 O
0.6350 0.7246 0.5510 O
0.6736 0.0840 0.9490 O
0.6736 0.0896 0.7246 O
0.7246 0.5510 0.6350 O
0.7246 0.6736 0.0896 O
0.7754 0.4104 0.8264 O
0.7754 0.8650 0.9490 O
0.8264 0.5510 0.4160 O
0.8264 0.7754 0.4104 O
0.8650 0.4160 0.0896 O
0.8650 0.9490 0.7754 O
0.9104 0.1350 0.5840 O
0.9104 0.2754 0.3264 O
0.9160 0.0510 0.3264 O
0.9160 0.3650 0.5896 O
0.9490 0.6736 0.0840 O
0.9490 0.7754 0.8650 O
```

***

- What is the total energy in the first record?
  -6.440 eV per atom

***

- What is the formula in the first record?
  Zn2Mo3O8

***

- Which of these has the lowest total energy?
  Zn2Mo3O8

***

What did the first record say?
Entry from the Alexandria database: a relaxed Zn2Mo3O8 crystal (PBE+U).

Summary:
Total energy ... -6.440 eV per atom
SG ... C2/m (12)
M_tot ... 6.000 Bohr magnetons per cell

Structure (POSCAR):
```
Zn2Mo3O8
1.0
5.1779 -3.1505 0.0000
5.1779 3.1505 0.0000
-1.9795 0.0000 5.0787
Zn Mo O
2 3 8
Direct
0.1757 0.1757 0.1276 Zn
0.8243 0.8243 0.8724 Zn
0.2401 0.7599 0.5000 Mo
0.5000 0.5000 0.0000 Mo
0.7599 0.2401 0.5000 Mo
0.1136 0.1136 0.7335 O
0.1557 0.6336 0.7512 O
0.3664 0.8443 0.2488 O
0.3845 0.3845 0.2582 O
0.6155 0.6155 0.7418 O
0.6336 0.1557 0.7512 O
0.8443 0.3664 0.2488 O
0.8864 0.8864 0.2665 O
```